# LiPb2

A geometry-optimized LiPb2 structure (PBE, the Alexandria database).

abc: 5.855 5.855 5.855
angles: 104.55 104.55 119.83
Element x y z (fractional)
1 Li 0.750 0.750 0.000
2 Li 0.250 0.250 0.000
3 Pb 0.335 0.165 0.500
4 Pb 0.665 0.835 0.500
5 Pb 0.165 0.665 0.830
6 Pb 0.835 0.335 0.170

Computed properties:
Excess energy over the best structure of this formula in the dataset, meV/atom: 16.2
Crystal system: tetragonal
Total magnetization, μB per atom: 0.00
Calculated density, kg/m3: 9288
E, eV for the cell shown: -19.59
ΔE_f, eV/atom: -0.154